## Sr6Ga2Sn (PBE-GGA)

Data for a geometry-optimized Sr6Ga2Sn structure.

Cell and atoms, written as CIF:
```
data_Sr6Ga2Sn
_cell_length_a 9.6407
_cell_length_b 9.6407
_cell_length_c 9.6407
_cell_angle_alpha 105.55
_cell_angle_beta 109.69
_cell_angle_gamma 113.27
_space_group_name_H-M_alt 'P 1'
_space_group_IT_number 1
loop_
_space_group_symop_operation_xyz
'x,y,z'
loop_
_atom_site_label
_atom_site_type_symbol
_atom_site_fract_x
_atom_site_fract_y
_atom_site_fract_z
_atom_site_occupancy
Sr1 Sr 0.6873 0.0230 0.3357 1
Sr2 Sr 0.1903 0.2483 0.4386 1
Sr3 Sr 0.8097 0.2483 0.0580 1
Sr4 Sr 0.5487 0.7271 0.8216 1
Sr5 Sr 0.4513 0.2729 0.1784 1
Sr6 Sr 0.9055 0.7271 0.1784 1
Sr7 Sr 0.6873 0.3516 0.6643 1
Sr8 Sr 0.0945 0.2729 0.8216 1
Sr9 Sr 0.1903 0.7517 0.9420 1
Sr10 Sr 0.3127 0.9770 0.6643 1
Sr11 Sr 0.8097 0.7517 0.5614 1
Sr12 Sr 0.3127 0.6484 0.3357 1
Ga1 Ga 0.5000 0.3906 0.8906 1
Ga2 Ga 0.3263 0.0000 0.3263 1
Ga3 Ga 0.6737 0.0000 0.6737 1
Ga4 Ga 0.5000 0.6094 0.1094 1
Sn1 Sn 0.0000 0.5000 0.5000 1
Sn2 Sn 0.0000 0.0000 0.0000 1
```

Summary:
Calculated formation energy, eV/atom: -0.36
N(E_F), states/eV/cell: 14.1
Total magnetic moment, μB per formula unit: 0.000

## Sr3GaSn3 (PBE-GGA)

Data for a geometry-optimized Sr3GaSn3 structure.

Cell and atoms, written as CIF:
```
data_Sr3GaSn3
_cell_length_a 7.5902
_cell_length_b 7.5902
_cell_length_c 8.6260
_cell_angle_alpha 93.78
_cell_angle_beta 93.78
_cell_angle_gamma 110.98
_space_group_name_H-M_alt 'P 1'
_space_group_IT_number 1
loop_
_space_group_symop_operation_xyz
'x,y,z'
loop_
_atom_site_label
_atom_site_type_symbol
_atom_site_fract_x
_atom_site_fract_y
_atom_site_fract_z
_atom_site_occupancy
Sn1 Sn 0.1415 0.4301 0.2752 1
Sn2 Sn 0.9946 0.9946 0.7981 1
Sn3 Sn 0.0054 0.0054 0.2019 1
Sn4 Sn 0.5699 0.8585 0.7248 1
Sn5 Sn 0.8585 0.5699 0.7248 1
Sn6 Sn 0.4301 0.1415 0.2752 1
Sr1 Sr 0.7517 0.2483 0.0000 1
Sr2 Sr 0.8076 0.1924 0.5000 1
Sr3 Sr 0.3587 0.3587 0.6544 1
Sr4 Sr 0.1924 0.8076 0.5000 1
Sr5 Sr 0.6413 0.6413 0.3456 1
Sr6 Sr 0.2483 0.7517 0.0000 1
Ga1 Ga 0.3260 0.3260 0.0286 1
Ga2 Ga 0.6740 0.6740 0.9714 1
```

Summary:
Calculated formation energy, eV/atom: -0.51
N(E_F), states/eV/cell: 4.5
Total magnetic moment, μB per formula unit: 0.000
Energy above the most stable polymorph in this dataset, eV per atom: 0.082

## SrGaSn2 (PBE-GGA)

Data for a geometry-optimized SrGaSn2 structure.

Cell and atoms, written as CIF:
```
data_SrGaSn2
_cell_length_a 5.0534
_cell_length_b 5.0534
_cell_length_c 10.6743
_cell_angle_alpha 76.31
_cell_angle_beta 76.31
_cell_angle_gamma 90.00
_space_group_name_H-M_alt 'P 1'
_space_group_IT_number 1
loop_
_space_group_symop_operation_xyz
'x,y,z'
loop_
_atom_site_label
_atom_site_type_symbol
_atom_site_fract_x
_atom_site_fract_y
_atom_site_fract_z
_atom_site_occupancy
Sn1 Sn 0.5399 0.1250 0.2500 1
Sn2 Sn 0.3750 0.4601 0.7500 1
Sn3 Sn 0.8750 0.7899 0.7500 1
Sn4 Sn 0.2101 0.6250 0.2500 1
Ga1 Ga 0.2500 0.7500 0.5000 1
Ga2 Ga 0.5000 0.5000 0.0000 1
Sr1 Sr 0.7500 0.2500 0.5000 1
Sr2 Sr 0.0000 0.0000 0.0000 1
```

Summary:
Calculated formation energy, eV/atom: -0.19
N(E_F), states/eV/cell: 1.3
Total magnetic moment, μB per formula unit: 0.000

## Sr2GaSn (PBE-GGA)

Data for a geometry-optimized Sr2GaSn structure.

Cell and atoms, written as CIF:
```
data_Sr2GaSn
_cell_length_a 8.7871
_cell_length_b 8.7871
_cell_length_c 7.2180
_cell_angle_alpha 52.50
_cell_angle_beta 52.50
_cell_angle_gamma 90.00
_space_group_name_H-M_alt 'P 1'
_space_group_IT_number 1
loop_
_space_group_symop_operation_xyz
'x,y,z'
loop_
_atom_site_label
_atom_site_type_symbol
_atom_site_fract_x
_atom_site_fract_y
_atom_site_fract_z
_atom_site_occupancy
Ga1 Ga 0.2500 0.7500 0.5000 1
Ga2 Ga 0.5000 0.5000 0.0000 1
Sn1 Sn 0.0000 0.0000 0.0000 1
Sn2 Sn 0.7500 0.2500 0.5000 1
Sr1 Sr 0.1372 0.6250 0.2500 1
Sr2 Sr 0.3750 0.3872 0.7500 1
Sr3 Sr 0.6128 0.1250 0.2500 1
Sr4 Sr 0.8750 0.8628 0.7500 1
```

Summary:
Calculated formation energy, eV/atom: -0.13
N(E_F), states/eV/cell: 8.0
Total magnetic moment, μB per formula unit: 0.000
Energy above the most stable polymorph in this dataset, eV per atom: 0.445

## SrGa4Sn (PBE-GGA)

Data for a geometry-optimized SrGa4Sn structure.

Cell and atoms, written as CIF:
```
data_SrGa4Sn
_cell_length_a 4.4888
_cell_length_b 8.3951
_cell_length_c 15.9560
_cell_angle_alpha 90.00
_cell_angle_beta 90.00
_cell_angle_gamma 90.00
_space_group_name_H-M_alt 'P 1'
_space_group_IT_number 1
loop_
_space_group_symop_operation_xyz
'x,y,z'
loop_
_atom_site_label
_atom_site_type_symbol
_atom_site_fract_x
_atom_site_fract_y
_atom_site_fract_z
_atom_site_occupancy
Sn1 Sn 0.0000 0.6466 0.0901 1
Sn2 Sn 0.0000 0.1466 0.4099 1
Sn3 Sn 0.0000 0.8534 0.5901 1
Sn4 Sn 0.0000 0.3534 0.9099 1
Ga1 Ga 0.5000 0.7985 0.1875 1
Ga2 Ga 0.5000 0.6323 0.5313 1
Ga3 Ga 0.5000 0.8868 0.4493 1
Ga4 Ga 0.5000 0.1132 0.5507 1
Ga5 Ga 0.5000 0.3868 0.0507 1
Ga6 Ga 0.5000 0.7015 0.6875 1
Ga7 Ga 0.5000 0.2015 0.8125 1
Ga8 Ga 0.5000 0.6132 0.9493 1
Ga9 Ga 0.5000 0.2985 0.3125 1
Ga10 Ga 0.5000 0.5075 0.8028 1
Ga11 Ga 0.5000 0.1323 0.9687 1
Ga12 Ga 0.5000 0.0075 0.6972 1
Ga13 Ga 0.5000 0.8677 0.0313 1
Ga14 Ga 0.5000 0.3677 0.4687 1
Ga15 Ga 0.5000 0.4925 0.1972 1
Ga16 Ga 0.5000 0.9925 0.3028 1
Sr1 Sr 0.0000 0.3651 0.6497 1
Sr2 Sr 0.0000 0.6349 0.3503 1
Sr3 Sr 0.0000 0.1349 0.1497 1
Sr4 Sr 0.0000 0.8651 0.8503 1
```

Summary:
Calculated formation energy, eV/atom: -0.22
N(E_F), states/eV/cell: 8.4
Total magnetic moment, μB per formula unit: 0.000
Energy above the most stable polymorph in this dataset, eV per atom: 0.000

## SrGa4Sn4 (PBE-GGA)

Data for a geometry-optimized SrGa4Sn4 structure.

Cell and atoms, written as CIF:
```
data_SrGa4Sn4
_cell_length_a 6.2620
_cell_length_b 6.2620
_cell_length_c 11.6066
_cell_angle_alpha 90.00
_cell_angle_beta 90.00
_cell_angle_gamma 90.00
_space_group_name_H-M_alt 'P 1'
_space_group_IT_number 1
loop_
_space_group_symop_operation_xyz
'x,y,z'
loop_
_atom_site_label
_atom_site_type_symbol
_atom_site_fract_x
_atom_site_fract_y
_atom_site_fract_z
_atom_site_occupancy
Sn1 Sn 0.5000 0.7517 0.2122 1
Sn2 Sn 0.7517 0.5000 0.7878 1
Sn3 Sn 0.2517 0.0000 0.7122 1
Sn4 Sn 0.0000 0.7483 0.2878 1
Sn5 Sn 0.7483 0.0000 0.7122 1
Sn6 Sn 0.0000 0.2517 0.2878 1
Sn7 Sn 0.5000 0.2483 0.2122 1
Sn8 Sn 0.2483 0.5000 0.7878 1
Ga1 Ga 0.0000 0.2874 0.5517 1
Ga2 Ga 0.2126 0.5000 0.0517 1
Ga3 Ga 0.7126 0.0000 0.4483 1
Ga4 Ga 0.7874 0.5000 0.0517 1
Ga5 Ga 0.0000 0.7126 0.5517 1
Ga6 Ga 0.2874 0.0000 0.4483 1
Ga7 Ga 0.5000 0.2126 0.9483 1
Ga8 Ga 0.5000 0.7874 0.9483 1
Sr1 Sr 0.0000 0.0000 0.0000 1
Sr2 Sr 0.5000 0.5000 0.5000 1
```

Summary:
Calculated formation energy, eV/atom: -0.15
N(E_F), states/eV/cell: 6.4
Total magnetic moment, μB per formula unit: 0.000

## SrGaTcSn2 (PBE-GGA)

Data for a geometry-optimized SrGaTcSn2 structure.

Cell and atoms, written as CIF:
```
data_SrGaTcSn2
_cell_length_a 5.2328
_cell_length_b 5.2328
_cell_length_c 4.8929
_cell_angle_alpha 90.00
_cell_angle_beta 90.00
_cell_angle_gamma 90.00
_space_group_name_H-M_alt 'P 1'
_space_group_IT_number 1
loop_
_space_group_symop_operation_xyz
'x,y,z'
loop_
_atom_site_label
_atom_site_type_symbol
_atom_site_fract_x
_atom_site_fract_y
_atom_site_fract_z
_atom_site_occupancy
Ga1 Ga 0.0000 0.0000 0.5000 1
Sr1 Sr 0.5000 0.5000 0.5000 1
Sn1 Sn 0.0000 0.5000 0.0000 1
Sn2 Sn 0.5000 0.0000 0.0000 1
Tc1 Tc 0.0000 0.0000 0.0000 1
```

Summary:
Calculated formation energy, eV/atom: -0.14
N(E_F), states/eV/cell: 4.2
Total magnetic moment, μB per formula unit: 0.000

## Sr2GaSnTe5 (PBE-GGA)

Data for a geometry-optimized Sr2GaSnTe5 structure.

Cell and atoms, written as CIF:
```
data_Sr2GaSnTe5
_cell_length_a 4.3980
_cell_length_b 10.5084
_cell_length_c 13.4661
_cell_angle_alpha 90.00
_cell_angle_beta 90.00
_cell_angle_gamma 102.08
_space_group_name_H-M_alt 'P 1'
_space_group_IT_number 1
loop_
_space_group_symop_operation_xyz
'x,y,z'
loop_
_atom_site_label
_atom_site_type_symbol
_atom_site_fract_x
_atom_site_fract_y
_atom_site_fract_z
_atom_site_occupancy
Te1 Te 0.4985 0.9970 0.2749 1
Te2 Te 0.3596 0.7192 0.9949 1
Te3 Te 0.5015 0.0030 0.7749 1
Te4 Te 0.3117 0.6234 0.3643 1
Te5 Te 0.0481 0.0962 0.0567 1
Te6 Te 0.2770 0.5539 0.6823 1
Te7 Te 0.9519 0.9038 0.5567 1
Te8 Te 0.6883 0.3766 0.8643 1
Te9 Te 0.7230 0.4461 0.1823 1
Te10 Te 0.6404 0.2808 0.4949 1
Sr1 Sr 0.8902 0.7804 0.1761 1
Sr2 Sr 0.1208 0.2416 0.3064 1
Sr3 Sr 0.8792 0.7584 0.8064 1
Sr4 Sr 0.1098 0.2196 0.6761 1
Ga1 Ga 0.5666 0.1332 0.9430 1
Ga2 Ga 0.4334 0.8668 0.4430 1
Sn1 Sn 0.7810 0.5620 0.5255 1
Sn2 Sn 0.2190 0.4380 0.0255 1
```

Summary:
N(E_F), states/eV/cell: 7.2
Total magnetic moment, μB per formula unit: 0.000
Total energy, eV per atom: -3.792

## SrTlGaSn (PBE-GGA)

Data for a geometry-optimized SrTlGaSn structure.

Cell and atoms, written as CIF:
```
data_SrTlGaSn
_cell_length_a 5.4564
_cell_length_b 5.4564
_cell_length_c 5.4564
_cell_angle_alpha 60.00
_cell_angle_beta 60.00
_cell_angle_gamma 60.00
_space_group_name_H-M_alt 'P 1'
_space_group_IT_number 1
loop_
_space_group_symop_operation_xyz
'x,y,z'
loop_
_atom_site_label
_atom_site_type_symbol
_atom_site_fract_x
_atom_site_fract_y
_atom_site_fract_z
_atom_site_occupancy
Sn1 Sn 0.2500 0.2500 0.2500 1
Ga1 Ga 0.5000 0.5000 0.5000 1
Sr1 Sr 0.7500 0.7500 0.7500 1
Tl1 Tl 0.0000 0.0000 0.0000 1
```

Summary:
Calculated formation energy, eV/atom: -0.24
N(E_F), states/eV/cell: 1.4
Total magnetic moment, μB per formula unit: 0.000

## SrTmGaSn (PBE-GGA)

Data for a geometry-optimized SrTmGaSn structure.

Cell and atoms, written as CIF:
```
data_SrTmGaSn
_cell_length_a 5.3745
_cell_length_b 5.3745
_cell_length_c 5.3745
_cell_angle_alpha 60.00
_cell_angle_beta 60.00
_cell_angle_gamma 60.00
_space_group_name_H-M_alt 'P 1'
_space_group_IT_number 1
loop_
_space_group_symop_operation_xyz
'x,y,z'
loop_
_atom_site_label
_atom_site_type_symbol
_atom_site_fract_x
_atom_site_fract_y
_atom_site_fract_z
_atom_site_occupancy
Ga1 Ga 0.2500 0.2500 0.2500 1
Sn1 Sn 0.7500 0.7500 0.7500 1
Tm1 Tm 0.0000 0.0000 0.0000 1
Sr1 Sr 0.5000 0.5000 0.5000 1
```

Summary:
Calculated formation energy, eV/atom: -0.42
N(E_F), states/eV/cell: 2.3
Total magnetic moment, μB per formula unit: 0.000

## SrGaSn2W (PBE-GGA)

Data for a geometry-optimized SrGaSn2W structure.

Cell and atoms, written as CIF:
```
data_SrGaSn2W
_cell_length_a 5.7422
_cell_length_b 5.3193
_cell_length_c 5.7422
_cell_angle_alpha 90.00
_cell_angle_beta 90.00
_cell_angle_gamma 90.00
_space_group_name_H-M_alt 'P 1'
_space_group_IT_number 1
loop_
_space_group_symop_operation_xyz
'x,y,z'
loop_
_atom_site_label
_atom_site_type_symbol
_atom_site_fract_x
_atom_site_fract_y
_atom_site_fract_z
_atom_site_occupancy
Sn1 Sn 0.0000 0.0000 0.5000 1
Sn2 Sn 0.5000 0.0000 0.0000 1
Ga1 Ga 0.0000 0.5000 0.0000 1
W1 W 0.5000 0.5000 0.5000 1
Sr1 Sr 0.0000 0.0000 0.0000 1
```

Summary:
Calculated formation energy, eV/atom: 2.23
N(E_F), states/eV/cell: 9.8
Total magnetic moment, μB per formula unit: 0.396

## SrYGa2Sn (PBE-GGA)

Data for a geometry-optimized SrYGa2Sn structure.

Cell and atoms, written as CIF:
```
data_SrYGa2Sn
_cell_length_a 5.4237
_cell_length_b 5.8209
_cell_length_c 5.4237
_cell_angle_alpha 90.00
_cell_angle_beta 90.00
_cell_angle_gamma 90.00
_space_group_name_H-M_alt 'P 1'
_space_group_IT_number 1
loop_
_space_group_symop_operation_xyz
'x,y,z'
loop_
_atom_site_label
_atom_site_type_symbol
_atom_site_fract_x
_atom_site_fract_y
_atom_site_fract_z
_atom_site_occupancy
Sr1 Sr 0.0000 0.0000 0.0000 1
Sn1 Sn 0.0000 0.5000 0.0000 1
Ga1 Ga 0.5000 0.0000 0.0000 1
Ga2 Ga 0.0000 0.0000 0.5000 1
Y1 Y 0.5000 0.5000 0.5000 1
```

Summary:
Calculated formation energy, eV/atom: 0.64
N(E_F), states/eV/cell: 6.2
Total magnetic moment, μB per formula unit: 0.000